1.
Material: PrNdErTm
Method: DFT, PBE
State: relaxed

Lattice parameters (Å, degrees): 5.729 5.729 5.729 60.00 60.00 60.00
Element x y z (fractional)
Pr 0.000 0.000 0.000
Nd 0.500 0.500 0.500
Er 0.750 0.750 0.750
Tm 0.250 0.250 0.250

Computed properties:
For the energy above the most stable polymorph in this dataset, the calculation gives 71.8 meV per atom. As for the space-group type: F-43m. The formation energy comes out at 0.385 eV/f.u.

***

2.
Material: TlCo2CuCl8
Method: DFT, PBE
State: relaxed

Lattice parameters (Å, degrees): 9.868 9.868 9.868 36.79 36.79 36.79
Element x y z (fractional)
Tl 0.000 0.000 0.000
Co 0.243 0.243 0.243
Co 0.757 0.757 0.757
Cu 0.500 0.500 0.500
Cl 0.125 0.449 0.767
Cl 0.233 0.875 0.551
Cl 0.322 0.322 0.322
Cl 0.449 0.767 0.125
Cl 0.551 0.233 0.875
Cl 0.678 0.678 0.678
Cl 0.767 0.125 0.449
Cl 0.875 0.551 0.233

Computed properties:
The formation energy from raw total energies is -7.19 eV per formula unit. As for the space-group type: R-3.

***

3.
Material: GeH3Au
Method: DFT, PBE
State: relaxed

Lattice parameters (Å, degrees): 3.786 3.786 3.786 90.00 90.00 90.00
Element x y z (fractional)
Ge 0.000 0.000 0.000
H 0.000 0.500 0.500
H 0.500 0.000 0.500
H 0.500 0.500 0.000
Au 0.500 0.500 0.500

Computed properties:
For the energy above the most stable polymorph in this dataset, the calculation gives 0.0 meV per atom. As for the space-group type: Pm-3m.

***

4.
Material: CaCoSi2Os
Method: DFT, PBE
State: relaxed

Lattice parameters (Å, degrees): 5.726 5.726 5.726 138.59 138.59 60.00
Element x y z (fractional)
Ca 0.000 0.000 0.000
Co 0.250 0.750 0.500
Si 0.369 0.369 0.000
Si 0.631 0.631 0.000
Os 0.750 0.250 0.500

Computed properties:
The formation energy from raw total energies is -2.90 eV per formula unit. As for the space-group type: I-4m2.